a) ## PmInSe3 (PBE-GGA)

Data for PmInSe3 after structural relaxation.

Structure (CIF):
```
data_PmInSe3
_cell_length_a 7.3137
_cell_length_b 7.4849
_cell_length_c 11.7675
_cell_angle_alpha 90.00
_cell_angle_beta 118.06
_cell_angle_gamma 90.00
_symmetry_space_group_name_H-M 'P 1 21/c 1'
_symmetry_Int_Tables_number 14
loop_
_symmetry_equiv_pos_as_xyz
'x,y,z'
'-x,-y,-z'
'-x,y+1/2,-z+1/2'
'x,-y+1/2,z+1/2'
loop_
_atom_site_label
_atom_site_type_symbol
_atom_site_fract_x
_atom_site_fract_y
_atom_site_fract_z
_atom_site_occupancy
Pm1 Pm 0.1473 0.1325 0.2133 1
In1 In 0.2634 0.6509 0.1199 1
Se1 Se 0.0894 0.1971 0.9348 1
Se2 Se 0.2385 0.6669 0.8935 1
Se3 Se 0.4626 0.0642 0.8131 1
```

---

b) ## PmInSe3 (PBE-GGA)

Data for PmInSe3 after structural relaxation.

Structure (CIF):
```
data_PmInSe3
_cell_length_a 7.4066
_cell_length_b 4.2563
_cell_length_c 10.5583
_cell_angle_alpha 90.00
_cell_angle_beta 100.03
_cell_angle_gamma 90.00
_symmetry_space_group_name_H-M 'P 1 21/m 1'
_symmetry_Int_Tables_number 11
loop_
_symmetry_equiv_pos_as_xyz
'x,y,z'
'-x,-y,-z'
'-x,y+1/2,-z'
'x,-y+1/2,z'
loop_
_atom_site_label
_atom_site_type_symbol
_atom_site_fract_x
_atom_site_fract_y
_atom_site_fract_z
_atom_site_occupancy
Pm1 Pm 0.2120 0.2500 0.4288 1
In1 In 0.4001 0.2500 0.8586 1
Se1 Se 0.0457 0.2500 0.6576 1
Se2 Se 0.2718 0.7500 0.9640 1
Se3 Se 0.4665 0.7500 0.3551 1
```

---

Tell me which of them is the most stable. Sure, it is b).